[1]
Density functional theory data (PBE-GGA) for a geometry-optimized TlSn2N structure.

Cell: 7.096 7.096 7.096 Å, 90.00 90.00 90.00°
Space group Fm-3m (No. 225)
Asymmetric unit:
Tl1 0.000 0.000 0.000 [4 per cell]
Sn1 0.250 0.250 0.250 [8 per cell]
N1 0.000 0.000 0.500 [4 per cell]

Computed properties:
E   -3.567 eV per atom
Raw formation energy   1.107 eV per atom
Energy above the most stable polymorph in this dataset   717 meV/atom
Total magnetization   0.00 μB/f.u.

---

[2]
Density functional theory data (PBE-GGA) for a geometry-optimized MnCuMo2 structure.

Cell: 3.837 3.837 7.405 Å, 90.00 90.00 90.00°
Space group I4/mmm (No. 139)
Asymmetric unit:
Mn1 0.000 0.000 0.000 [2 per cell]
Cu1 0.000 0.000 0.500 [2 per cell]
Mo1 0.000 0.500 0.250 [4 per cell]

Computed properties:
E_form   0.248 eV per atom
E   -8.484 eV per atom
Energy above the most stable polymorph in this dataset   60 meV/atom
Total magnetization   0.00 μB/f.u.